VASP calculation (PBE with a Hubbard U) on crystalline CoIN2O at its relaxed geometry.

Cell lengths 3.7874, 3.7874, 3.8166 Å; angles 90.00, 90.00, 90.00 degrees
Last column: nearest neighbours and their distance in Å.
Positions (direct):
Co1 0.0000 0.0000 0.0000  4 N 1.89, 2 O 1.91
I1 0.5000 0.5000 0.5000  4 O 2.68, 8 N 2.69
N1 0.0000 0.5000 0.0000  2 Co 1.89
N2 0.5000 0.0000 0.0000  2 Co 1.89
O1 0.0000 0.0000 0.5000  2 Co 1.91

- Crystal system: tetragonal
- DFT total energy: -22.07 eV/cell
- Space group: P4/mmm